## ZnHgOs (meta-GGA SCAN)

Data for ZnHgOs at its PBEsol-relaxed geometry.

a b c (Å): 2.8483 2.8483 6.7954
angles (deg): 90.00 90.00 120.00
Last column: nearest neighbours and their distance in Å.
Element x y z (fractional)
1 Os 0.6667 0.3333 0.6463  3 Zn 2.60, 6 Os 2.85
2 Hg 0.0000 0.0000 0.0030  6 Hg 2.85, 3 Zn 2.88, 3 Os 2.93
3 Zn 0.3333 0.6667 0.3508  3 Os 2.60, 6 Zn 2.85, 3 Hg 2.88

Properties
DFT total energy	-50.6309	eV per atom
excess energy over the best structure of this formula in the dataset	0	meV/atom
energy of formation	556	meV per atom
crystal system	trigonal

---

## Zr2HgOs (meta-GGA SCAN)

Data for Zr2HgOs at its PBEsol-relaxed geometry.

a b c (Å): 3.2147 3.2147 7.3518
angles (deg): 90.00 90.00 90.00
Last column: nearest neighbours and their distance in Å.
Element x y z (fractional)
1 Zr 0.0000 0.0000 0.7225  4 Os 2.80, 4 Hg 3.05
2 Zr 0.0000 0.0000 0.2775  4 Os 2.80, 4 Hg 3.05
3 Os 0.5000 0.5000 0.5000  8 Zr 2.80
4 Hg 0.5000 0.5000 0.0000  8 Zr 3.05, 4 Hg 3.21

Properties
DFT total energy	-50.8908	eV per atom
energy of formation	-530	meV per atom
crystal system	tetragonal

---

## HgP5 (meta-GGA SCAN)

Data for HgP5 at its PBEsol-relaxed geometry.

a b c (Å): 3.4779 5.0254 5.8692
angles (deg): 90.00 107.23 90.00
Last column: nearest neighbours and their distance in Å.
Element x y z (fractional)
1 P 0.3705 0.0000 0.7409  4 P 2.27-2.52
2 P 0.3819 0.5000 0.7638  6 P 2.44-2.61
3 P 0.0557 0.5000 0.1115  2 Hg 2.51, 4 P 2.61
4 P 0.7292 0.5000 0.4585  6 P 2.44-2.61
5 Hg 0.0555 0.0000 0.1109  6 P 2.51-2.71
6 P 0.7405 0.0000 0.4810  4 P 2.27-2.52

Properties
DFT total energy	-19.7201	eV per atom
energy of formation	306	meV per atom
crystal system	orthorhombic

---

## Hg4P (meta-GGA SCAN)

Data for Hg4P at its PBEsol-relaxed geometry.

a b c (Å): 3.9285 3.9285 7.9624
angles (deg): 104.28 104.28 90.00
Last column: nearest neighbours and their distance in Å.
Element x y z (fractional)
1 P 0.0000 0.0000 0.0000  8 Hg 3.10
2 Hg 0.7500 0.2500 0.5000  8 Hg 2.78-3.07
3 Hg 0.4084 0.4084 0.8167  1 Hg 2.74
4 Hg 0.2500 0.7500 0.5000  8 Hg 2.78-3.07
5 Hg 0.5916 0.5916 0.1833  1 Hg 2.74

Properties
DFT total energy	-56.1072	eV per atom
energy of formation	505	meV per atom
crystal system	tetragonal

---

## HgP3 (meta-GGA SCAN)

Data for HgP3 at its PBEsol-relaxed geometry.

a b c (Å): 2.6835 5.0392 5.0392
angles (deg): 90.00 90.00 90.00
Last column: nearest neighbours and their distance in Å.
Element x y z (fractional)
1 P 0.5000 0.0000 0.5000  6 P 2.68-2.85, 4 Hg 2.85
2 Hg 0.0000 0.0000 0.0000  2 Hg 2.68, 8 P 2.85
3 P 0.0000 0.5000 0.5000  10 P 2.68-2.85
4 P 0.5000 0.5000 0.0000  6 P 2.68-2.85, 4 Hg 2.85

Properties
DFT total energy	-23.8689	eV per atom
excess energy over the best structure of this formula in the dataset	0	meV/atom
energy of formation	972	meV per atom
crystal system	tetragonal

---

## HgP3 (meta-GGA SCAN)

Data for HgP3 at its PBEsol-relaxed geometry.

a b c (Å): 4.0896 4.0896 4.0896
angles (deg): 90.00 90.00 90.00
Last column: nearest neighbours and their distance in Å.
Element x y z (fractional)
1 P 0.0000 0.5000 0.5000  4 Hg 2.89, 8 P 2.89
2 Hg 0.0000 0.0000 0.0000  12 P 2.89
3 P 0.5000 0.0000 0.5000  4 Hg 2.89, 8 P 2.89
4 P 0.5000 0.5000 0.0000  4 Hg 2.89, 8 P 2.89

Properties
DFT total energy	-23.7423	eV per atom
excess energy over the best structure of this formula in the dataset	127	meV/atom
energy of formation	1098	meV per atom
crystal system	cubic

---

## HgP4 (meta-GGA SCAN)

Data for HgP4 at its PBEsol-relaxed geometry.

a b c (Å): 3.7629 5.4384 5.4384
angles (deg): 83.13 69.76 69.76
Last column: nearest neighbours and their distance in Å.
Element x y z (fractional)
1 P 0.4989 0.3452 0.6569  5 P 2.25-2.46
2 P 0.1559 0.3431 0.3452  5 P 2.25-2.46
3 P 0.8441 0.6569 0.6548  5 P 2.25-2.46
4 Hg 0.0000 0.0000 0.0000  8 P 3.12
5 P 0.5011 0.6548 0.3431  5 P 2.25-2.46

Properties
DFT total energy	-21.3714	eV per atom
energy of formation	581	meV per atom
crystal system	tetragonal

---

## HgP4 (meta-GGA SCAN)

Data for HgP4 at its PBEsol-relaxed geometry.

a b c (Å): 4.2566 4.2566 6.0841
angles (deg): 110.48 110.48 90.00
Last column: nearest neighbours and their distance in Å.
Element x y z (fractional)
1 P 0.3360 0.3360 0.6720  4 P 2.31
2 P 0.2500 0.7500 0.5000  4 P 2.31
3 P 0.6640 0.6640 0.3280  4 P 2.31
4 Hg 0.0000 0.0000 0.0000  18 P 3.39-3.55
5 P 0.7500 0.2500 0.5000  4 P 2.31

Properties
DFT total energy	-21.6124	eV per atom
energy of formation	340	meV per atom
crystal system	tetragonal

---

Question: Which of these has the highest energy of formation?
Answer: number 6

---

Copy entry 1 word for word.
## ZnHgOs (meta-GGA SCAN)

Data for ZnHgOs at its PBEsol-relaxed geometry.

a b c (Å): 2.8483 2.8483 6.7954
angles (deg): 90.00 90.00 120.00
Last column: nearest neighbours and their distance in Å.
Element x y z (fractional)
1 Os 0.6667 0.3333 0.6463  3 Zn 2.60, 6 Os 2.85
2 Hg 0.0000 0.0000 0.0030  6 Hg 2.85, 3 Zn 2.88, 3 Os 2.93
3 Zn 0.3333 0.6667 0.3508  3 Os 2.60, 6 Zn 2.85, 3 Hg 2.88

Properties
DFT total energy	-50.6309	eV per atom
excess energy over the best structure of this formula in the dataset	0	meV/atom
energy of formation	556	meV per atom
crystal system	trigonal

---

Question: Which value of energy of formation does entry 4 give?
Answer: 505 meV per atom

---

Question: Among the records above, which one has the lowest DFT total energy?
Answer: Hg4P